(1)
Density functional theory data (PBE) for Dy2NbFeSi2 after structural relaxation.

Values from the calculation:
crystal system = tetragonal

Geometry as CIF:
```
data_Dy2NbFeSi2
_chemical_formula_sum 'Dy2 Nb1 Fe1 Si2'
_symmetry_space_group_name_H-M 'P -4 m 2'
_symmetry_Int_Tables_number 115
_cell_length_a 3.9316
_cell_length_b 3.9316
_cell_length_c 7.4759
_cell_angle_alpha 90.00
_cell_angle_beta 90.00
_cell_angle_gamma 90.00
loop_
_symmetry_equiv_pos_as_xyz
'x,y,z'
'y,-x,-z'
'-x,-y,z'
'-y,x,-z'
'-x,y,z'
'-y,-x,-z'
'x,-y,z'
'y,x,-z'
loop_
_atom_site_label
_atom_site_type_symbol
_atom_site_fract_x
_atom_site_fract_y
_atom_site_fract_z
Dy1 Dy 0.0000 0.5000 0.1513
Nb1 Nb 0.0000 0.0000 0.5000
Fe1 Fe 0.5000 0.5000 0.5000
Si1 Si 0.0000 0.5000 0.7265
```

=====

(2)
Density functional theory data (PBE) for Sm3AlNi8 after structural relaxation.

Values from the calculation:
crystal system = hexagonal

Geometry as CIF:
```
data_Sm3AlNi8
_chemical_formula_sum 'Sm6 Al2 Ni16'
_symmetry_space_group_name_H-M 'P 63/m m c'
_symmetry_Int_Tables_number 194
_symmetry_space_group_name_Hall '-P 6c 2c'
_cell_length_a 5.0781
_cell_length_b 5.0781
_cell_length_c 16.1398
_cell_angle_alpha 90.00
_cell_angle_beta 90.00
_cell_angle_gamma 120.00
loop_
_atom_site_label
_atom_site_type_symbol
_atom_site_fract_x
_atom_site_fract_y
_atom_site_fract_z
Sm1 Sm 0.3333 0.6667 0.0416
Sm2 Sm 0.3333 0.6667 0.2500
Al1 Al 0.3333 0.6667 0.7500
Ni1 Ni 0.0000 0.0000 0.0000
Ni2 Ni 0.0000 0.0000 0.2500
Ni3 Ni 0.1649 0.3297 0.6279
```

=====

(3)
Density functional theory data (PBE) for CuH8C16SN6Cl after structural relaxation.

Values from the calculation:
crystal system = triclinic

Geometry as CIF:
```
data_CuH8C16SN6Cl
_chemical_formula_sum 'Cu2 H16 C32 S2 N12 Cl2'
_symmetry_space_group_name_H-M 'P -1'
_symmetry_Int_Tables_number 2
_cell_length_a 7.8514
_cell_length_b 7.9249
_cell_length_c 12.0761
_cell_angle_alpha 99.30
_cell_angle_beta 99.74
_cell_angle_gamma 93.88
loop_
_symmetry_equiv_pos_as_xyz
'x,y,z'
'-x,-y,-z'
loop_
_atom_site_label
_atom_site_type_symbol
_atom_site_fract_x
_atom_site_fract_y
_atom_site_fract_z
Cu1 Cu 0.0000 0.0000 0.0000
Cu2 Cu 0.5000 0.5000 0.5000
H1 H 0.0252 0.9038 0.5789
H2 H 0.0386 0.3513 0.3414
H3 H 0.0582 0.5760 0.3849
H4 H 0.2753 0.0589 0.2141
H5 H 0.2748 0.1255 0.6784
H6 H 0.3001 0.7794 0.4966
H7 H 0.4168 0.0255 0.4119
H8 H 0.4417 0.0845 0.8689
C1 C 0.0725 0.7396 0.6988
C2 C 0.0784 0.4130 0.8461
C3 C 0.1023 0.3191 0.9362
C4 C 0.1016 0.8325 0.1927
C5 C 0.1087 0.8856 0.6568
C6 C 0.1164 0.6769 0.3485
C7 C 0.1715 0.5784 0.8599
C8 C 0.2239 0.3806 0.0386
C9 C 0.2369 0.9528 0.2546
C10 C 0.2465 0.0108 0.7141
C11 C 0.2481 0.7946 0.4098
C12 C 0.2967 0.6403 0.9605
C13 C 0.3034 0.8401 0.8615
C14 C 0.3122 0.9325 0.3623
C15 C 0.3239 0.5429 0.0507
C16 C 0.3406 0.9894 0.8170
S1 S 0.4054 0.4324 0.2220
N1 N 0.0073 0.8292 0.0882
N2 N 0.0484 0.6892 0.2377
N3 N 0.1732 0.7111 0.7976
N4 N 0.2563 0.3045 0.1305
N5 N 0.3764 0.7970 0.9599
N6 N 0.4325 0.5876 0.1518
Cl1 Cl 0.2765 0.3760 0.5384
```

=====

(4)
Density functional theory data (PBE) for TbDyO4 after structural relaxation.

Values from the calculation:
crystal system = monoclinic

Geometry as CIF:
```
data_TbDyO4
_chemical_formula_sum 'Tb2 Dy2 O8'
_symmetry_space_group_name_H-M 'C 1 m 1'
_symmetry_Int_Tables_number 8
_cell_length_a 6.8059
_cell_length_b 3.7067
_cell_length_c 6.1616
_cell_angle_alpha 90.00
_cell_angle_beta 96.30
_cell_angle_gamma 90.00
loop_
_symmetry_equiv_pos_as_xyz
'x,y,z'
'x,-y,z'
'x+1/2,y+1/2,z'
'x+1/2,-y+1/2,z'
loop_
_atom_site_label
_atom_site_type_symbol
_atom_site_fract_x
_atom_site_fract_y
_atom_site_fract_z
Tb1 Tb 0.0000 0.0000 0.0000
Dy1 Dy 0.1350 0.5000 0.5421
O1 O 0.1702 0.5000 0.9151
O2 O 0.2257 0.0000 0.3270
O3 O 0.4093 0.0000 0.2182
O4 O 0.4643 0.5000 0.6234
```

=====

(5)
Density functional theory data (PBE) for BaBeCo after structural relaxation.

Values from the calculation:
E above lowest polymorph = 0 kJ/mol of formula units
crystal system = cubic

Geometry as CIF:
```
data_BaBeCo
_chemical_formula_sum 'Ba4 Be4 Co4'
_symmetry_space_group_name_H-M 'F -4 3 m'
_symmetry_Int_Tables_number 216
_symmetry_space_group_name_Hall 'F -4 2 3'
_cell_length_a 6.5242
_cell_length_b 6.5242
_cell_length_c 6.5242
_cell_angle_alpha 90.00
_cell_angle_beta 90.00
_cell_angle_gamma 90.00
loop_
_atom_site_label
_atom_site_type_symbol
_atom_site_fract_x
_atom_site_fract_y
_atom_site_fract_z
Ba1 Ba 0.0000 0.0000 0.0000
Be1 Be 0.0000 0.0000 0.5000
Co1 Co 0.2500 0.2500 0.2500
```

=====

(6)
Density functional theory data (PBE) for HgB4Sb after structural relaxation.

Values from the calculation:
E above lowest polymorph = 0 kJ/mol of formula units
crystal system = hexagonal

Geometry as CIF:
```
data_HgB4Sb
_chemical_formula_sum 'Hg1 B4 Sb1'
_symmetry_space_group_name_H-M 'P 6/m m m'
_symmetry_Int_Tables_number 191
_symmetry_space_group_name_Hall '-P 6 2'
_cell_length_a 3.0919
_cell_length_b 3.0919
_cell_length_c 9.2261
_cell_angle_alpha 90.00
_cell_angle_beta 90.00
_cell_angle_gamma 120.00
loop_
_atom_site_label
_atom_site_type_symbol
_atom_site_fract_x
_atom_site_fract_y
_atom_site_fract_z
Hg1 Hg 0.0000 0.0000 0.0000
B1 B 0.3333 0.6667 0.2619
Sb1 Sb 0.0000 0.0000 0.5000
```

=====

(7)
Density functional theory data (PBE) for GaCoCuNi after structural relaxation.

Values from the calculation:
E above lowest polymorph = 0 kJ/mol of formula units
crystal system = cubic

Geometry as CIF:
```
data_GaCoCuNi
_chemical_formula_sum 'Ga4 Co4 Cu4 Ni4'
_symmetry_space_group_name_H-M 'F -4 3 m'
_symmetry_Int_Tables_number 216
_symmetry_space_group_name_Hall 'F -4 2 3'
_cell_length_a 5.6919
_cell_length_b 5.6919
_cell_length_c 5.6919
_cell_angle_alpha 90.00
_cell_angle_beta 90.00
_cell_angle_gamma 90.00
loop_
_atom_site_label
_atom_site_type_symbol
_atom_site_fract_x
_atom_site_fract_y
_atom_site_fract_z
Ga1 Ga 0.0000 0.0000 0.0000
Co1 Co 0.2500 0.2500 0.2500
Cu1 Cu 0.0000 0.0000 0.5000
Ni1 Ni 0.2500 0.2500 0.7500
```

=====

(8)
Density functional theory data (PBE) for DyHo2In3Fe2Cu after structural relaxation.

Values from the calculation:
crystal system = orthorhombic

Geometry as CIF:
```
data_DyHo2In3Fe2Cu
_chemical_formula_sum 'Dy2 Ho4 In6 Fe4 Cu2'
_symmetry_space_group_name_H-M 'A m m 2'
_symmetry_Int_Tables_number 38
_cell_length_a 3.8915
_cell_length_b 12.9045
_cell_length_c 7.4481
_cell_angle_alpha 90.00
_cell_angle_beta 90.00
_cell_angle_gamma 90.00
loop_
_symmetry_equiv_pos_as_xyz
'x,y,z'
'-x,-y,z'
'-x,y,z'
'x,-y,z'
'x,y+1/2,z+1/2'
'-x,-y+1/2,z+1/2'
'-x,y+1/2,z+1/2'
'x,-y+1/2,z+1/2'
loop_
_atom_site_label
_atom_site_type_symbol
_atom_site_fract_x
_atom_site_fract_y
_atom_site_fract_z
Dy1 Dy 0.0000 0.0000 0.0000
Ho1 Ho 0.0000 0.2053 0.6164
In1 In 0.5000 0.0000 0.6688
In2 In 0.5000 0.1292 0.2822
Fe1 Fe 0.5000 0.1669 0.9110
Cu1 Cu 0.0000 0.0000 0.4113
```

=====

(9)
Density functional theory data (PBE) for KLiPtW after structural relaxation.

Values from the calculation:
E above lowest polymorph = 0 kJ/mol of formula units
crystal system = cubic

Geometry as CIF:
```
data_KLiPtW
_chemical_formula_sum 'K4 Li4 Pt4 W4'
_symmetry_space_group_name_H-M 'F -4 3 m'
_symmetry_Int_Tables_number 216
_symmetry_space_group_name_Hall 'F -4 2 3'
_cell_length_a 6.5043
_cell_length_b 6.5043
_cell_length_c 6.5043
_cell_angle_alpha 90.00
_cell_angle_beta 90.00
_cell_angle_gamma 90.00
loop_
_atom_site_label
_atom_site_type_symbol
_atom_site_fract_x
_atom_site_fract_y
_atom_site_fract_z
K1 K 0.0000 0.0000 0.0000
Li1 Li 0.2500 0.2500 0.2500
Pt1 Pt 0.0000 0.0000 0.5000
W1 W 0.2500 0.2500 0.7500
```

=====

(10)
Density functional theory data (PBE) for CuGeIrPb after structural relaxation.

Values from the calculation:
E above lowest polymorph = 0 kJ/mol of formula units
crystal system = cubic

Geometry as CIF:
```
data_CuGeIrPb
_chemical_formula_sum 'Cu4 Ge4 Ir4 Pb4'
_symmetry_space_group_name_H-M 'F -4 3 m'
_symmetry_Int_Tables_number 216
_symmetry_space_group_name_Hall 'F -4 2 3'
_cell_length_a 6.5490
_cell_length_b 6.5490
_cell_length_c 6.5490
_cell_angle_alpha 90.00
_cell_angle_beta 90.00
_cell_angle_gamma 90.00
loop_
_atom_site_label
_atom_site_type_symbol
_atom_site_fract_x
_atom_site_fract_y
_atom_site_fract_z
Cu1 Cu 0.0000 0.0000 0.0000
Ge1 Ge 0.2500 0.2500 0.7500
Ir1 Ir 0.0000 0.0000 0.5000
Pb1 Pb 0.2500 0.2500 0.2500
```

=====

(11)
Density functional theory data (PBE) for Zr3Sn4Bi4 after structural relaxation.

Values from the calculation:
crystal system = tetragonal

Geometry as CIF:
```
data_Zr3Sn4Bi4
_chemical_formula_sum 'Zr6 Sn8 Bi8'
_symmetry_space_group_name_H-M 'I -4 2 m'
_symmetry_Int_Tables_number 121
_symmetry_space_group_name_Hall 'I -4 2'
_cell_length_a 7.6788
_cell_length_b 7.6788
_cell_length_c 11.9314
_cell_angle_alpha 90.00
_cell_angle_beta 90.00
_cell_angle_gamma 90.00
loop_
_atom_site_label
_atom_site_type_symbol
_atom_site_fract_x
_atom_site_fract_y
_atom_site_fract_z
Zr1 Zr 0.0000 0.0000 0.0000
Zr2 Zr 0.0000 0.5000 0.2500
Sn1 Sn 0.2085 0.2085 0.1504
Bi1 Bi 0.0000 0.0000 0.3189
Bi2 Bi 0.0000 0.5000 0.0000
```

=====

(12)
Density functional theory data (PBE) for Lu2PdPb after structural relaxation.

Values from the calculation:
crystal system = cubic

Geometry as CIF:
```
data_Lu2PdPb
_chemical_formula_sum 'Lu8 Pd4 Pb4'
_symmetry_space_group_name_H-M 'F -4 3 m'
_symmetry_Int_Tables_number 216
_symmetry_space_group_name_Hall 'F -4 2 3'
_cell_length_a 7.2225
_cell_length_b 7.2225
_cell_length_c 7.2225
_cell_angle_alpha 90.00
_cell_angle_beta 90.00
_cell_angle_gamma 90.00
loop_
_atom_site_label
_atom_site_type_symbol
_atom_site_fract_x
_atom_site_fract_y
_atom_site_fract_z
Lu1 Lu 0.0000 0.0000 0.0000
Lu2 Lu 0.2500 0.2500 0.2500
Pd1 Pd 0.2500 0.2500 0.7500
Pb1 Pb 0.0000 0.0000 0.5000
```

=====

E_tot / eV per cell: -41.77 -134.83 -465.22 -93.79 -39.60 -26.80 -80.12 -88.53 -74.48 -77.97 -111.66 -75.36